Entry from Alexandria: a relaxed structure of Pm2GeOs (PBE).

The structure in CIF format:
```
data_Pm2GeOs
_symmetry_space_group_name_H-M 'P 4/m m m'
_symmetry_Int_Tables_number 123
_symmetry_space_group_name_Hall '-P 4 2'
_cell_length_a 3.545
_cell_length_b 3.545
_cell_length_c 7.386
_cell_angle_alpha 90.00
_cell_angle_beta 90.00
_cell_angle_gamma 90.00
loop_
_atom_site_label
_atom_site_type_symbol
_atom_site_fract_x
_atom_site_fract_y
_atom_site_fract_z
Pm1 Pm 0.000 0.000 0.232
Ge1 Ge 0.500 0.500 0.500
Os1 Os 0.500 0.500 0.000
```

Values from the calculation:
Energy   -6.6010 eV/atom
Total magnetization   0.000 μB/cell